(1)
Here is crystalline TbSm4Dy2 at its relaxed geometry from Alexandria via LeMat-Bulk. Energies are from PBE-GGA.

## Properties
Offset from the most stable computed form = 70 meV/atom
Volume = 33.89 Å³ per atom
Space group = Cmcm

Cell lengths 10.9770, 10.9770, 12.2367 Å; angles 90.00, 90.00, 161.23 degrees
Closest atoms and distances in Å follow each position.
Sites, in units of the cell vectors:
Tb 0.1050 0.8950 0.7500  4 Dy 3.44, 2 Tb 3.58, 2 Sm 3.81
Tb 0.8950 0.1050 0.2500  4 Dy 3.44, 2 Tb 3.58, 2 Sm 3.81
Sm 0.0000 0.0000 0.0000  4 Dy 3.29, 2 Sm 3.58
Sm 0.0000 0.0000 0.5000  4 Dy 3.29, 2 Sm 3.58
Sm 0.2354 0.7646 0.1218  1 Sm 3.14, 3 Dy 3.26-3.38
Sm 0.2354 0.7646 0.3782  1 Sm 3.14, 3 Dy 3.26-3.38
Sm 0.4330 0.5670 0.7500  2 Dy 3.47, 6 Sm 3.58-3.83
Sm 0.5670 0.4330 0.2500  2 Dy 3.47, 6 Sm 3.58-3.83
Sm 0.7646 0.2354 0.6218  1 Sm 3.14, 3 Dy 3.26-3.38
Sm 0.7646 0.2354 0.8782  1 Sm 3.14, 3 Dy 3.26-3.38
Dy 0.3728 0.6272 0.0128  6 Sm 3.26-3.47, 2 Tb 3.44, 2 Dy 3.58
Dy 0.3728 0.6272 0.4872  6 Sm 3.26-3.47, 2 Tb 3.44, 2 Dy 3.58
Dy 0.6272 0.3728 0.5128  6 Sm 3.26-3.47, 2 Tb 3.44, 2 Dy 3.58
Dy 0.6272 0.3728 0.9872  6 Sm 3.26-3.47, 2 Tb 3.44, 2 Dy 3.58

(2)
Here is crystalline TbNd7Sm5 at its relaxed geometry from Alexandria via LeMat-Bulk. Energies are from PBE-GGA.

## Properties
Volume = 35.39 Å³ per atom
Space group = Imm2

Cell lengths 8.8975, 8.8975, 8.8975 Å; angles 134.94, 100.60, 96.30 degrees
Closest atoms and distances in Å follow each position.
Sites, in units of the cell vectors:
Tb 0.0000 0.0000 0.0000  7 Nd 3.66-3.98, 4 Sm 3.73
Nd 0.2268 0.5568 0.6699  5 Sm 3.47-3.68, 5 Nd 3.48-3.86
Nd 0.3006 0.8006 0.5000  6 Nd 3.41-3.68, 4 Sm 3.47
Nd 0.3085 0.3085 0.0000  3 Nd 3.41-3.65, 4 Sm 3.61, 1 Tb 3.66
Nd 0.3826 0.0601 0.3224  5 Sm 3.42-3.60, 3 Nd 3.68-3.83, 1 Tb 3.73
Nd 0.6164 0.6164 0.0000  7 Nd 3.65-4.02, 6 Sm 3.83-4.00
Nd 0.7377 0.0601 0.6776  5 Sm 3.42-3.60, 3 Nd 3.68-3.83, 1 Tb 3.73
Nd 0.8869 0.5568 0.3301  5 Sm 3.47-3.68, 5 Nd 3.48-3.86
Sm 0.0428 0.0442 0.4561  2 Sm 3.12-3.19, 3 Nd 3.47
Sm 0.0428 0.5867 0.9986  2 Sm 3.12-3.19, 3 Nd 3.47
Sm 0.5881 0.0442 0.0014  2 Sm 3.12-3.19, 3 Nd 3.47
Sm 0.5881 0.5867 0.5439  2 Sm 3.12-3.19, 3 Nd 3.47
Sm 0.7929 0.2929 0.5000  4 Sm 3.19, 2 Nd 3.42

(3)
Here is crystalline Sm3U2Ru6 at its relaxed geometry from Alexandria via LeMat-Bulk. Energies are from PBE-GGA.

## Properties
Volume = 20.06 Å³ per atom
Space group = Im-3m

Cell lengths 8.3078, 8.3078, 8.3078 Å; angles 109.47, 109.47, 109.47 degrees
Closest atoms and distances in Å follow each position.
Sites, in units of the cell vectors:
Sm 0.0000 0.2851 0.2851  4 Ru 2.93
Sm 0.0000 0.7149 0.7149  4 Ru 2.93
Sm 0.2851 0.0000 0.2851  4 Ru 2.93
Sm 0.2851 0.2851 0.0000  4 Ru 2.93
Sm 0.7149 0.0000 0.7149  4 Ru 2.93
Sm 0.7149 0.7149 0.0000  4 Ru 2.93
U 0.0000 0.0000 0.5000  6 Ru 2.73
U 0.0000 0.5000 0.0000  6 Ru 2.73
U 0.5000 0.0000 0.0000  6 Ru 2.73
U 0.5000 0.5000 0.5000  6 Ru 2.73
Ru 0.0000 0.3463 0.6537  2 U 2.73, 6 Ru 2.79-2.95, 2 Sm 2.93
Ru 0.0000 0.6537 0.3463  2 U 2.73, 6 Ru 2.79-2.95, 2 Sm 2.93
Ru 0.3074 0.6537 0.6537  2 U 2.73, 6 Ru 2.79-2.95, 2 Sm 2.93
Ru 0.3463 0.0000 0.6537  2 U 2.73, 6 Ru 2.79-2.95, 2 Sm 2.93
Ru 0.3463 0.3463 0.6926  2 U 2.73, 6 Ru 2.79-2.95, 2 Sm 2.93
Ru 0.3463 0.6537 0.0000  2 U 2.73, 6 Ru 2.79-2.95, 2 Sm 2.93
Ru 0.3463 0.6926 0.3463  2 U 2.73, 6 Ru 2.79-2.95, 2 Sm 2.93
Ru 0.6537 0.0000 0.3463  2 U 2.73, 6 Ru 2.79-2.95, 2 Sm 2.93
Ru 0.6537 0.3074 0.6537  2 U 2.73, 6 Ru 2.79-2.95, 2 Sm 2.93
Ru 0.6537 0.3463 0.0000  2 U 2.73, 6 Ru 2.79-2.95, 2 Sm 2.93
Ru 0.6537 0.6537 0.3074  2 U 2.73, 6 Ru 2.79-2.95, 2 Sm 2.93
Ru 0.6926 0.3463 0.3463  2 U 2.73, 6 Ru 2.79-2.95, 2 Sm 2.93

(4)
Here is crystalline Er5ZrIn4 at its relaxed geometry from Alexandria via LeMat-Bulk. Energies are from PBE-GGA.

## Properties
Volume = 26.06 Å³ per atom
Space group = P4/mmm

Cell lengths 3.4677, 3.4677, 21.6702 Å; angles 90.00, 90.00, 90.00 degrees
Closest atoms and distances in Å follow each position.
Sites, in units of the cell vectors:
Er 0.0000 0.0000 0.0000  8 In 3.26, 4 Er 3.47
Er 0.0000 0.0000 0.1983  8 In 3.24-3.26, 4 Er 3.47
Er 0.0000 0.0000 0.3966  4 In 3.28, 4 Zr 3.32, 4 Er 3.47
Er 0.0000 0.0000 0.6034  4 In 3.28, 4 Zr 3.32, 4 Er 3.47
Er 0.0000 0.0000 0.8017  8 In 3.24-3.26, 4 Er 3.47
Zr 0.5000 0.5000 0.5000  8 Er 3.32, 4 Zr 3.47
In 0.5000 0.5000 0.0989  8 Er 3.26, 4 In 3.47
In 0.5000 0.5000 0.2963  8 Er 3.24-3.28, 4 In 3.47
In 0.5000 0.5000 0.7037  8 Er 3.24-3.28, 4 In 3.47
In 0.5000 0.5000 0.9011  8 Er 3.26, 4 In 3.47

Number 1: N(E_F) 1.3778 states/eV/atom, uncorrected energy -4.475 eV/atom. Number 2: N(E_F) 1.7378 states/eV/atom, uncorrected energy -4.512 eV/atom. Number 3: N(E_F) 1.3546 states/eV/atom, uncorrected energy -8.675 eV/atom. Number 4: N(E_F) 0.8338 states/eV/atom, uncorrected energy -4.582 eV/atom.